Entry 1:
A relaxed CeReO6 crystal. Source: the Alexandria database, functional PBE. Values from VASP.

Uncorrected energy (eV/atom): -7.942
Space-group type: Fm-3m
Formation energy from raw total energies (eV per formula unit): -15.403

```
&SYSTEM
  ibrav = 0, nat = 8, ntyp = 3
/
ATOMIC_SPECIES
O 16.00 O.upf
Ce 140.12 Ce.upf
Re 186.21 Re.upf
ATOMIC_POSITIONS angstrom
O 3.6135 5.5509 5.5643
O 0.4919 5.6577 2.3253
Ce 2.0527 5.6043 3.9448
O 3.3982 4.3942 2.6080
O 1.1499 3.7084 4.7523
O 2.9555 7.5002 3.1372
O 0.7071 6.8144 5.2815
Re 0.0000 0.0000 0.0000
CELL_PARAMETERS angstrom
-0.8129 5.7024 0.9716
0.3952 2.1235 5.4274
4.5230 3.3827 1.4906
```

=====

Entry 2:
A relaxed Li2Ho2Pd7 crystal. Source: the Alexandria database, functional PBE. Values from VASP.

Uncorrected energy (eV/atom): -4.915
Space-group type: C2/m
DFT formation energy (eV per formula unit): -4.7

```
&SYSTEM
  ibrav = 0, nat = 11, ntyp = 3
/
ATOMIC_SPECIES
Ho 164.93 Ho.upf
Pd 106.42 Pd.upf
Li 6.94 Li.upf
ATOMIC_POSITIONS angstrom
Ho -0.6961 -0.8195 3.7886
Pd 4.4324 0.4920 4.2162
Pd 4.0089 0.2344 1.5622
Pd 4.5287 -2.3099 3.0995
Li 2.9417 -1.9893 1.0065
Li 3.6557 -1.5550 5.4807
Ho 7.2935 -2.7248 2.6986
Pd 2.1650 -4.0363 2.2710
Pd 2.5885 -3.7787 4.9250
Pd 0.0000 0.0000 0.0000
Pd 2.0687 -1.2344 3.3877
CELL_PARAMETERS angstrom
-3.0738 -2.0410 4.2866
5.4877 -4.2192 -0.4662
4.1834 2.7160 2.6668
```

=====

Entry 3:
A relaxed Na5Hg2Pd4 crystal. Source: the Alexandria database, functional PBE. Values from VASP.

Uncorrected energy (eV/atom): -2.397
Space-group type: Immm
DFT formation energy (eV per formula unit): 1.6

```
&SYSTEM
  ibrav = 0, nat = 11, ntyp = 3
/
ATOMIC_SPECIES
Hg 200.59 Hg.upf
Na 22.99 Na.upf
Pd 106.42 Pd.upf
ATOMIC_POSITIONS angstrom
Hg 1.4218 3.7490 7.4265
Na 1.4217 1.6800 9.7914
Na 1.4217 -1.6800 9.7914
Na 1.4217 0.0000 0.0000
Pd 0.0000 2.4487 0.0000
Pd 1.4217 3.7490 4.6994
Pd 0.0000 5.0493 0.0000
Hg 0.0000 0.0000 5.1495
Na 0.0000 2.0690 2.7847
Na 0.0000 5.4290 2.7847
Pd 0.0000 0.0000 7.8767
CELL_PARAMETERS angstrom
2.8435 0.0000 0.0000
0.0000 7.4980 0.0000
-1.4217 -3.7490 12.5760
```

=====

Entry 4:
A relaxed YTm2ScS6 crystal. Source: the Alexandria database, functional PBE. Values from VASP.

Uncorrected energy (eV/atom): -6.659
Space-group type: R3
Formation energy from raw total energies (eV per formula unit): -20.090

```
&SYSTEM
  ibrav = 0, nat = 10, ntyp = 4
/
ATOMIC_SPECIES
Sc 44.96 Sc.upf
S 32.06 S.upf
Y 88.91 Y.upf
Tm 168.93 Tm.upf
ATOMIC_POSITIONS angstrom
Sc -1.7905 -2.9277 -1.8667
S -2.1137 -10.0462 -2.7088
Y -4.4180 -10.6140 -3.9907
Tm -2.7724 -7.4085 -2.3682
S -5.1297 -7.9493 -3.5437
S -0.4656 -7.5978 -0.9014
S -3.2508 -4.9907 -1.2931
S -3.6885 -8.5144 -0.0344
S -1.2517 -6.7603 -4.4889
Tm 0.2332 -6.8127 1.5499
CELL_PARAMETERS angstrom
-5.5107 -3.7682 -1.0202
-0.1308 -4.4977 -5.0360
0.3291 -6.9966 1.7119
```

=====

Entry 5:
A relaxed BiIrS2 crystal. Source: the Alexandria database, functional PBE. Values from VASP.

Uncorrected energy (eV/atom): -5.157
Space-group type: Cmcm
Formation energy from raw total energies (eV per formula unit): 0.369

```
&SYSTEM
  ibrav = 0, nat = 8, ntyp = 3
/
ATOMIC_SPECIES
S 32.06 S.upf
Ir 192.22 Ir.upf
Bi 208.98 Bi.upf
ATOMIC_POSITIONS angstrom
S -1.5692 -3.2508 9.4043
S -3.8881 5.1804 -3.5590
S -1.2304 -3.2994 5.6980
S -3.5493 5.1318 -7.2653
Ir -0.8737 -4.5963 7.6920
Bi -1.7090 -1.5594 3.0228
Ir -4.2448 6.4773 -5.5530
Bi -3.4096 3.4404 -0.8837
CELL_PARAMETERS angstrom
-3.2885 4.7750 -8.6072
-0.2638 -6.2222 8.3015
-1.5663 3.3282 2.4448
```

=====

Entry 6:
A relaxed Zr3SnBi crystal. Source: the Alexandria database, functional PBE. Values from VASP.

Uncorrected energy (eV/atom): -5.838
Space-group type: Pm-3m
DFT formation energy (eV per formula unit): 4.3

```
&SYSTEM
  ibrav = 0, nat = 5, ntyp = 3
/
ATOMIC_SPECIES
Zr 91.22 Zr.upf
Sn 118.71 Sn.upf
Bi 208.98 Bi.upf
ATOMIC_POSITIONS angstrom
Zr 0.0133 -0.5820 2.6283
Sn -3.3718 -2.2863 2.2680
Bi 0.0000 0.0000 0.0000
Zr -2.5635 0.7995 0.1901
Zr -0.8216 -2.5038 -0.5503
CELL_PARAMETERS angstrom
-1.6433 -5.0075 -1.1006
0.0267 -1.1641 5.2565
-5.1270 1.5989 0.3801
```

=====

The lowest uncorrected energy belongs to which entry? CeReO6